(1)
! GGA-PBE TlH, relaxed; values from VASP
&SYSTEM
  ibrav = 0, nat = 8, ntyp = 2
/
ATOMIC_SPECIES
Tl 204.38 Tl.upf
H 1.01 H.upf
CELL_PARAMETERS angstrom
6.462 0.000 0.000
0.000 6.462 0.000
0.000 0.000 3.994
ATOMIC_POSITIONS angstrom
Tl 1.323 5.140 1.997
Tl 1.909 1.909 0.000
Tl 4.554 4.554 0.000
Tl 5.140 1.323 1.997
H 2.205 4.258 0.000
H 1.026 1.026 1.997
H 5.436 5.436 1.997
H 4.258 2.205 0.000
! Volume (Å³/cell): 166.81
! Calculated total energy (hartree per atom): -0.0890
! Magnetization (μB per formula unit): 0.000

(2)
! GGA-PBE Tm7Tl4H, relaxed; values from VASP
&SYSTEM
  ibrav = 0, nat = 12, ntyp = 3
/
ATOMIC_SPECIES
Tl 204.38 Tl.upf
Tm 168.93 Tm.upf
H 1.01 H.upf
CELL_PARAMETERS angstrom
-3.692 -1.352 3.205
-2.387 -8.212 -2.199
3.439 -4.409 6.115
ATOMIC_POSITIONS angstrom
Tl -2.196 -8.672 1.841
Tl -1.099 -10.323 6.422
Tl -0.444 -5.300 5.281
Tl -1.541 -3.650 0.699
Tm -1.584 -6.683 -0.629
Tm -3.013 -10.593 4.104
Tm -1.056 -7.289 7.751
Tm 0.372 -3.379 3.018
Tm -2.416 -5.703 2.840
Tm -0.224 -8.269 4.282
Tm -1.846 -0.676 1.603
H 0.000 0.000 0.000
! Volume (Å³/cell): 335.94
! Calculated total energy (hartree per atom): -0.1396
! Magnetization (μB per formula unit): 0.000

> Number 2 is which compound?

Tm7Tl4H

> magnetization of number 1 (TlH)?

0.000 μB per formula unit

> What is the magnetization in the first record?

0.000 μB per formula unit

> calculated total energy of number 1 (TlH)?

-0.0890 hartree per atom